# 1
# Li2LaTc (PBE, optimized geometry)
data_Li2LaTc
_chemical_formula_sum 'Li4 La2 Tc2'
_symmetry_space_group_name_H-M 'C m m m'
_symmetry_Int_Tables_number 65
_symmetry_space_group_name_Hall '-C 2 2'
_cell_length_a 2.945
_cell_length_b 4.956
_cell_length_c 10.753
_cell_angle_alpha 90.00
_cell_angle_beta 90.00
_cell_angle_gamma 90.00
loop_
_atom_site_label
_atom_site_fract_x
_atom_site_fract_y
_atom_site_fract_z
Li1 0.000 0.000 0.209
La1 0.000 0.500 0.500
Tc1 0.000 0.500 0.000
# E above lowest polymorph = 301 meV/atom
# DFT formation energy = 534.9 meV per atom
# Magnetic moment = 0.0 μB per formula unit
# Calculated density = 5.3 g/cm3

***

# 2
# Pm2Nd8Hg (PBE, optimized geometry)
data_Pm2Nd8Hg
_chemical_formula_sum 'Pm4 Nd16 Hg2'
_symmetry_space_group_name_H-M 'C 1 2/m 1'
_symmetry_Int_Tables_number 12
_symmetry_space_group_name_Hall '-C 2y'
_cell_length_a 17.869
_cell_length_b 5.665
_cell_length_c 7.962
_cell_angle_alpha 90.00
_cell_angle_beta 111.22
_cell_angle_gamma 90.00
loop_
_atom_site_label
_atom_site_fract_x
_atom_site_fract_y
_atom_site_fract_z
Pm1 0.187 0.000 0.159
Nd1 0.014 0.000 0.268
Nd2 0.104 0.500 0.929
Nd3 0.164 0.500 0.427
Nd4 0.181 0.000 0.730
Hg1 0.000 0.500 0.500
# E above lowest polymorph = 54 meV/atom
# DFT formation energy = 12.9 meV per atom
# Magnetic moment = 0.0 μB per formula unit
# Calculated density = 7.3 g/cm3

***

# 3
# Na2Tl6Cd (PBE, optimized geometry)
data_Na2Tl6Cd
_chemical_formula_sum 'Na4 Tl12 Cd2'
_symmetry_space_group_name_H-M 'C 1 2/m 1'
_symmetry_Int_Tables_number 12
_symmetry_space_group_name_Hall '-C 2y'
_cell_length_a 13.336
_cell_length_b 6.536
_cell_length_c 6.598
_cell_angle_alpha 90.00
_cell_angle_beta 103.89
_cell_angle_gamma 90.00
loop_
_atom_site_label
_atom_site_fract_x
_atom_site_fract_y
_atom_site_fract_z
Na1 0.133 0.000 0.186
Tl1 0.097 0.245 0.703
Tl2 0.191 0.500 0.356
Cd1 0.000 0.500 0.000
# E above lowest polymorph = 38 meV/atom
# DFT formation energy = -20.8 meV per atom
# Magnetic moment = 0.0 μB per formula unit
# Calculated density = 8.2 g/cm3

***

# 4
# HfV2Rh2 (PBE, optimized geometry)
data_HfV2Rh2
_chemical_formula_sum 'Hf2 V4 Rh4'
_symmetry_space_group_name_H-M 'P 4/m b m'
_symmetry_Int_Tables_number 127
_symmetry_space_group_name_Hall '-P 4 2ab'
_cell_length_a 7.395
_cell_length_b 7.395
_cell_length_c 2.848
_cell_angle_alpha 90.00
_cell_angle_beta 90.00
_cell_angle_gamma 90.00
loop_
_atom_site_label
_atom_site_fract_x
_atom_site_fract_y
_atom_site_fract_z
Hf1 0.000 0.000 0.000
V1 0.164 0.336 0.500
Rh1 0.132 0.632 0.000
# E above lowest polymorph = 1 meV/atom
# DFT formation energy = -270.2 meV per atom
# Magnetic moment = 1.2 μB per formula unit
# Calculated density = 10.4 g/cm3

***

# 5
# Ag5Hg (PBE, optimized geometry)
data_Ag5Hg
_chemical_formula_sum 'Ag10 Hg2'
_symmetry_space_group_name_H-M 'C m m m'
_symmetry_Int_Tables_number 65
_symmetry_space_group_name_Hall '-C 2 2'
_cell_length_a 4.175
_cell_length_b 12.885
_cell_length_c 4.152
_cell_angle_alpha 90.00
_cell_angle_beta 90.00
_cell_angle_gamma 90.00
loop_
_atom_site_label
_atom_site_fract_x
_atom_site_fract_y
_atom_site_fract_z
Ag1 0.000 0.000 0.000
Ag2 0.000 0.168 0.500
Ag3 0.000 0.330 0.000
Hg1 0.000 0.500 0.500
# E above lowest polymorph = 0 meV/atom
# DFT formation energy = 38.7 meV per atom
# Magnetic moment = 0.0 μB per formula unit
# Calculated density = 11.0 g/cm3

***

# 6
# La3Mg4Pd4 (PBE, optimized geometry)
data_La3Mg4Pd4
_chemical_formula_sum 'La6 Mg8 Pd8'
_symmetry_space_group_name_H-M 'I m m m'
_symmetry_Int_Tables_number 71
_symmetry_space_group_name_Hall '-I 2 2'
_cell_length_a 4.157
_cell_length_b 8.147
_cell_length_c 14.991
_cell_angle_alpha 90.00
_cell_angle_beta 90.00
_cell_angle_gamma 90.00
loop_
_atom_site_label
_atom_site_fract_x
_atom_site_fract_y
_atom_site_fract_z
La1 0.000 0.000 0.000
La2 0.000 0.500 0.117
Mg1 0.000 0.309 0.325
Pd1 0.000 0.000 0.229
Pd2 0.000 0.201 0.500
# DFT formation energy = -660.3 meV per atom
# Magnetic moment = 0.0 μB per formula unit
# Calculated density = 6.1 g/cm3

***

# 7
# PmPrIr2 (PBE, optimized geometry)
data_PmPrIr2
_chemical_formula_sum 'Pm2 Pr2 Ir4'
_symmetry_space_group_name_H-M 'A m m 2'
_symmetry_Int_Tables_number 38
_symmetry_space_group_name_Hall 'A 2 -2'
_cell_length_a 4.232
_cell_length_b 4.104
_cell_length_c 10.901
_cell_angle_alpha 90.00
_cell_angle_beta 90.00
_cell_angle_gamma 90.00
loop_
_atom_site_label
_atom_site_fract_x
_atom_site_fract_y
_atom_site_fract_z
Pm1 0.000 0.000 0.000
Pr1 0.500 0.000 0.291
Ir1 0.000 0.000 0.719
Ir2 0.500 0.000 0.568
# E above lowest polymorph = 0 meV/atom
# DFT formation energy = -616.8 meV per atom
# Magnetic moment = 0.0 μB per formula unit
# Calculated density = 11.8 g/cm3

***

# 8
# Zr2Pd7Au2 (PBE, optimized geometry)
data_Zr2Pd7Au2
_chemical_formula_sum 'Zr4 Pd14 Au4'
_symmetry_space_group_name_H-M 'C 1 2/m 1'
_symmetry_Int_Tables_number 12
_symmetry_space_group_name_Hall '-C 2y'
_cell_length_a 9.311
_cell_length_b 9.182
_cell_length_c 4.995
_cell_angle_alpha 90.00
_cell_angle_beta 115.75
_cell_angle_gamma 90.00
loop_
_atom_site_label
_atom_site_fract_x
_atom_site_fract_y
_atom_site_fract_z
Zr1 0.000 0.220 0.000
Pd1 0.000 0.000 0.500
Pd2 0.091 0.500 0.318
Pd3 0.169 0.244 0.667
Au1 0.246 0.000 0.050
# DFT formation energy = -379.0 meV per atom
# Magnetic moment = 0.0 μB per formula unit
# Calculated density = 11.4 g/cm3

***

# 9
# CaRe (PBE, optimized geometry)
data_CaRe
_chemical_formula_sum 'Ca8 Re8'
_symmetry_space_group_name_H-M 'P 4/m'
_symmetry_Int_Tables_number 83
_symmetry_space_group_name_Hall '-P 4'
_cell_length_a 11.238
_cell_length_b 11.238
_cell_length_c 4.113
_cell_angle_alpha 90.00
_cell_angle_beta 90.00
_cell_angle_gamma 90.00
loop_
_atom_site_label
_atom_site_fract_x
_atom_site_fract_y
_atom_site_fract_z
Ca1 0.006 0.681 0.000
Ca2 0.306 0.687 0.500
Re1 0.109 0.483 0.500
Re2 0.221 0.503 0.000
# E above lowest polymorph = 274 meV/atom
# DFT formation energy = 576.1 meV per atom
# Magnetic moment = 0.0 μB per formula unit
# Calculated density = 5.8 g/cm3

***

# 10
# Sr2CdBr (PBE, optimized geometry)
data_Sr2CdBr
_chemical_formula_sum 'Sr4 Cd2 Br2'
_symmetry_space_group_name_H-M 'I m m 2'
_symmetry_Int_Tables_number 44
_symmetry_space_group_name_Hall 'I 2 -2'
_cell_length_a 4.021
_cell_length_b 4.292
_cell_length_c 17.298
_cell_angle_alpha 90.00
_cell_angle_beta 90.00
_cell_angle_gamma 90.00
loop_
_atom_site_label
_atom_site_fract_x
_atom_site_fract_y
_atom_site_fract_z
Sr1 0.000 0.000 0.000
Sr2 0.000 0.500 0.262
Cd1 0.000 0.000 0.409
Br1 0.000 0.500 0.662
# E above lowest polymorph = 93 meV/atom
# Magnetic moment = 0.0 μB per formula unit
# Raw formation energy = -0.7811 eV per atom
# Calculated density = 4.1 g/cm3

***

# 11
# Rb3CoI6 (PBE, optimized geometry)
data_Rb3CoI6
_chemical_formula_sum 'Rb12 Co4 I24'
_symmetry_space_group_name_H-M 'C m c 21'
_symmetry_Int_Tables_number 36
_symmetry_space_group_name_Hall 'C 2c -2'
_cell_length_a 14.776
_cell_length_b 19.190
_cell_length_c 6.669
_cell_angle_alpha 90.00
_cell_angle_beta 90.00
_cell_angle_gamma 90.00
loop_
_atom_site_label
_atom_site_fract_x
_atom_site_fract_y
_atom_site_fract_z
Rb1 0.000 0.083 0.000
Rb2 0.202 0.406 0.554
Co1 0.000 0.307 0.071
I1 0.000 0.298 0.697
I2 0.000 0.435 0.180
I3 0.141 0.247 0.196
I4 0.167 0.071 0.565
# E above lowest polymorph = 0 meV/atom
# Magnetic moment = 3.9 μB per formula unit
# Raw formation energy = -0.8490 eV per atom
# Calculated density = 3.8 g/cm3

***

# 12
# CsNp3 (PBE, optimized geometry)
data_CsNp3
_chemical_formula_sum 'Cs1 Np3'
_symmetry_space_group_name_H-M 'P m -3 m'
_symmetry_Int_Tables_number 221
_symmetry_space_group_name_Hall '-P 4 2 3'
_cell_length_a 4.778
_cell_length_b 4.778
_cell_length_c 4.778
_cell_angle_alpha 90.00
_cell_angle_beta 90.00
_cell_angle_gamma 90.00
loop_
_atom_site_label
_atom_site_fract_x
_atom_site_fract_y
_atom_site_fract_z
Cs1 0.000 0.000 0.000
Np1 0.000 0.500 0.500
# E above lowest polymorph = 21 meV/atom
# DFT formation energy = 1609.3 meV per atom
# Magnetic moment = 13.1 μB per formula unit
# Calculated density = 12.8 g/cm3

***

What is the formula in the fifth record?
Ag5Hg